No. 1
CeHgSe | Alexandria via LeMat-Bulk | PBE-GGA | relaxed; space-group type = No. 62; formation energy from raw total energies = -97.77 kJ/mol of atoms
1.0
8.466 0.000 0.000
0.000 4.907 0.000
0.000 0.000 8.161
Ce Hg Se
4 4 4
Cartesian
1.460 1.227 1.184
2.773 3.680 5.265
5.693 1.227 2.897
7.006 3.680 6.978
0.029 3.680 3.145
4.204 1.227 7.225
4.262 3.680 0.936
8.437 1.227 5.017
1.369 3.680 7.782
2.864 1.227 3.701
5.602 3.680 4.461
7.097 1.227 0.380

=====

No. 2
Ce2HgSe4 | Alexandria via LeMat-Bulk | PBE-GGA | relaxed; space-group type = No. 55; formation energy from raw total energies = -122.00 kJ/mol of atoms
1.0
7.674 0.000 0.000
0.000 11.187 0.000
0.000 0.000 4.594
Ce Hg Se
4 2 8
Cartesian
0.863 2.073 0.000
2.974 7.666 0.000
4.700 3.521 0.000
6.810 9.115 0.000
0.000 5.594 2.297
3.837 0.000 2.297
0.888 7.989 2.297
1.719 10.486 0.000
2.118 4.892 0.000
2.949 2.396 2.297
4.725 8.792 2.297
5.556 6.295 0.000
5.955 0.701 0.000
6.786 3.198 2.297

=====

No. 3
Ce3HgSe6 | Alexandria via LeMat-Bulk | PBE-GGA | relaxed; space-group type = No. 36; formation energy from raw total energies = -139.31 kJ/mol of atoms
1.0
5.709 -7.066 0.000
5.709 7.066 0.000
0.000 0.000 7.057
Ce Hg Se
6 2 12
Cartesian
5.709 5.626 3.528
3.636 1.408 4.192
3.636 -1.408 0.663
7.783 1.408 4.192
7.783 -1.408 0.663
5.709 -5.626 0.000
5.709 2.877 0.881
5.709 -2.877 4.409
3.645 3.846 2.380
1.843 0.443 2.082
1.843 -0.443 5.611
5.709 3.172 5.326
7.774 3.846 2.380
5.709 0.410 2.137
5.709 -0.410 5.666
3.645 -3.846 5.909
5.709 -3.172 1.797
9.576 0.443 2.082
9.576 -0.443 5.611
7.774 -3.846 5.909

=====

No. 4
CeHgSe2 | Alexandria via LeMat-Bulk | PBE-GGA | relaxed; space-group type = No. 160; formation energy from raw total energies = -110.01 kJ/mol of atoms
1.0
2.143 1.237 8.811
-2.143 1.237 8.811
0.000 -2.474 8.811
Ce Hg Se
1 1 2
Cartesian
0.000 0.000 0.000
0.000 0.000 22.094
0.000 0.000 10.279
0.000 0.000 16.182

=====

No. 5
Ce4HgTe2Se | Alexandria via LeMat-Bulk | PBE-GGA | relaxed; space-group type = No. 10; formation energy from raw total energies = -110.96 kJ/mol of atoms
1.0
7.648 0.000 0.000
0.000 4.348 0.000
-2.495 0.000 7.306
Ce Hg Te Se
4 1 2 1
Cartesian
1.217 0.000 1.717
-0.018 2.174 5.548
5.171 2.174 1.758
3.936 0.000 5.590
3.824 0.000 0.000
-1.248 0.000 3.653
2.576 2.174 3.653
0.000 2.174 0.000

=====

No. 6
CeTl2Hg2Se4 | Alexandria via LeMat-Bulk | PBE-GGA | relaxed; space-group type = No. 12; formation energy from raw total energies = -64.57 kJ/mol of atoms
1.0
8.439 -2.102 0.000
8.439 2.102 0.000
-4.149 0.000 7.611
Ce Tl Hg Se
1 2 2 4
Cartesian
0.000 0.000 0.000
-0.134 0.000 4.105
12.862 0.000 3.506
1.066 0.000 7.306
11.662 0.000 0.305
2.123 0.000 1.944
7.263 0.000 1.631
5.465 0.000 5.980
10.606 0.000 5.667

=====

No. 7
CeSiHg | Alexandria via LeMat-Bulk | PBE-GGA | relaxed; space-group type = No. 156; formation energy from raw total energies = -34.35 kJ/mol of atoms
1.0
4.390 0.000 0.000
-2.195 3.802 0.000
0.000 0.000 4.290
Ce Si Hg
1 1 1
Cartesian
0.000 0.000 0.000
0.000 2.534 2.489
2.195 1.267 1.907

=====

No. 8
CeSiHg | Alexandria via LeMat-Bulk | PBE-GGA | relaxed; space-group type = No. 12; formation energy from raw total energies = -47.53 kJ/mol of atoms
1.0
8.461 -2.105 0.000
8.461 2.105 0.000
-0.012 0.000 3.928
Ce Si Hg
2 2 2
Cartesian
1.639 0.000 0.987
15.271 0.000 2.941
7.793 0.000 0.980
9.117 0.000 2.948
4.919 0.000 0.979
11.991 0.000 2.949

=====

No. 9
Ce5Si2Hg | Alexandria via LeMat-Bulk | PBE-GGA | relaxed; space-group type = No. 140; formation energy from raw total energies = -39.75 kJ/mol of atoms
1.0
-3.839 3.839 7.144
3.839 -3.839 7.144
3.839 3.839 -7.144
Ce Si Hg
10 4 2
Cartesian
0.000 0.000 0.000
5.176 1.337 -2.022
1.337 2.502 -2.022
5.176 1.337 2.022
1.337 2.502 2.022
0.000 0.000 7.144
2.502 1.337 5.123
-1.337 2.502 5.123
2.502 1.337 9.166
-1.337 2.502 9.166
2.939 0.900 0.000
2.939 -0.900 7.144
0.900 4.739 0.000
0.900 2.939 7.144
0.000 0.000 3.572
0.000 0.000 10.716

=====

No. 10
Ce5SiHg | Alexandria via LeMat-Bulk | PBE-GGA | relaxed; space-group type = No. 15; formation energy from raw total energies = -11.69 kJ/mol of atoms
1.0
4.639 -5.881 0.000
4.639 5.881 0.000
-2.393 0.000 6.737
Ce Si Hg
10 2 2
Cartesian
0.149 1.577 5.723
2.500 2.064 2.561
2.844 3.329 5.053
1.345 -1.577 2.354
5.581 2.064 0.808
1.304 -2.064 5.930
5.540 1.577 4.383
4.041 -3.329 1.684
4.384 -2.064 4.177
6.736 -1.577 1.015
2.844 0.316 5.053
4.041 -0.316 1.684
0.000 0.000 0.000
-1.197 0.000 3.369

=====

No. 11
Ce5Si2Hg | Alexandria via LeMat-Bulk | PBE-GGA | relaxed; space-group type = No. 63; formation energy from raw total energies = -33.72 kJ/mol of atoms
1.0
2.593 -4.704 0.000
2.593 4.704 0.000
0.000 0.000 16.813
Ce Si Hg
10 4 2
Cartesian
2.593 4.079 9.578
2.593 4.079 15.641
2.593 2.215 4.203
2.593 0.864 10.076
2.593 0.864 15.143
2.593 -0.864 1.669
2.593 -0.864 6.737
2.593 -2.215 12.610
2.593 -4.079 1.172
2.593 -4.079 7.235
2.593 2.195 1.206
2.593 2.195 7.200
2.593 -2.195 9.613
2.593 -2.195 15.606
2.593 4.143 12.610
2.593 -4.143 4.203

=====

No. 12
CeSiHg | Alexandria via LeMat-Bulk | PBE-GGA | relaxed; space-group type = No. 107; formation energy from raw total energies = -9.01 kJ/mol of atoms
1.0
-1.999 1.999 4.566
1.999 -1.999 4.566
1.999 1.999 -4.566
Ce Si Hg
1 1 1
Cartesian
0.000 0.000 0.000
0.000 0.000 3.302
0.000 0.000 6.182